VASP calculation (GGA+U) on crystalline RbPaCo2O6 at its relaxed geometry.

Cell lengths 5.9256, 5.9256, 6.9690 Å; angles 64.84, 64.84, 60.00 degrees
Closest atoms and distances in Å follow each position.
Fractional positions:
O 0.6793 0.0963 0.7087  1 Co 1.77
O 0.4842 0.3207 0.2913  1 Co 1.77
O 0.5158 0.6793 0.7087  1 Co 1.77
O 0.0963 0.5158 0.7087  1 Co 1.77
O 0.3207 0.9037 0.2913  1 Co 1.77
O 0.9037 0.4842 0.2913  1 Co 1.77
Pa 0.5000 0.5000 0.5000  6 O 2.19
Co 0.2368 0.2368 0.2897  3 O 1.77
Co 0.7632 0.7632 0.7103  3 O 1.77
Rb 0.0000 0.0000 0.0000  6 O 3.04

- uncorrected energy (eV per cell) = -69.548
- space-group type = R-3 (148)